## Cr2WIO (PBE+U)

Data for Cr2WIO after structural relaxation.

Properties
As for the space group: P4/mmm (123). The density of states at the Fermi level is 2.3 states/eV per cell. The value obtained for the calculated volume is 156.3 Å³ per cell. The calculation puts the uncorrected energy at -20.430 eV/cell.

Cell and atoms, written as POSCAR:
```
Cr2WIO
1.0
-2.601 2.215 4.060
-2.855 -4.703 0.737
3.734 -1.743 3.343
Cr W I O
2 1 1 1
direct
0.000 0.000 0.500
0.500 0.000 0.000
0.000 0.500 0.000
0.000 0.000 0.000
0.500 0.500 0.500
```